First-principles (PBE) data for a geometry-optimized LiY4Tl structure, as listed in Alexandria.

Structure (extended XYZ):
```
6
Lattice="5.069 0.000 -0.001 0.000 5.070 -0.002 0.004 0.006 7.519" Properties=species:S:1:pos:R:3 pbc="T T T"
Y 2.545 5.062 5.592
Y 0.010 2.526 5.593
Y 2.542 5.056 1.894
Y 0.007 2.522 1.896
Tl 2.545 2.527 7.504
Li 0.008 5.060 3.745
```

Values from the calculation:
spin magnetization	0.00	μB per cell
offset from the most stable computed form	0.00	kJ per mole of atoms
electronic total energy	-4.810	eV per atom
N(E_F)	9.14	states/eV per cell
SG	No. 123


First-principles (PBE) data for a geometry-optimized Tb3DyNi8 structure, as listed in Alexandria.

Structure (extended XYZ):
```
12
Lattice="5.070 0.000 0.000 2.535 4.391 0.000 2.535 1.464 8.302" Properties=species:S:1:pos:R:3 pbc="T T T"
Ni 8.871 5.122 5.704
Ni 2.535 1.464 3.630
Ni 5.070 4.390 1.560
Ni 3.803 2.195 1.560
Ni 6.339 5.122 5.704
Ni 7.605 2.928 5.704
Ni 7.605 4.391 7.782
Ni 6.337 2.195 1.560
Tb 5.070 2.927 4.152
Tb 7.605 4.391 0.005
Tb 5.070 2.927 7.263
Dy 7.605 4.391 3.113
```

Values from the calculation:
spin magnetization	0.00	μB per cell
electronic total energy	-5.833	eV per atom
N(E_F)	6.44	states/eV per cell
SG	No. 160


First-principles (PBE) data for a geometry-optimized TaCd2FeN structure, as listed in Alexandria.

Structure (extended XYZ):
```
5
Lattice="-3.404 -3.267 -2.136 1.883 -0.160 -2.756 2.592 -4.011 2.004" Properties=species:S:1:pos:R:3 pbc="T T T"
Ta 0.536 -3.719 -1.444
Fe 0.000 0.000 0.000
Cd -1.702 -1.634 -1.068
Cd 1.296 -2.005 1.002
N 0.941 -0.080 -1.378
```

Values from the calculation:
uncorrected formation energy	0.87	eV per atom
spin magnetization	0.06	μB per cell
offset from the most stable computed form	12.43	kJ per mole of atoms
electronic total energy	-5.220	eV per atom
N(E_F)	3.33	states/eV per cell
SG	No. 123


First-principles (PBE) data for a geometry-optimized FeOsPb2Br structure, as listed in Alexandria.

Structure (extended XYZ):
```
5
Lattice="5.316 0.000 0.000 0.000 4.878 0.000 0.000 0.000 5.316" Properties=species:S:1:pos:R:3 pbc="T T T"
Br 2.658 2.439 2.658
Pb 0.000 0.000 2.658
Pb 2.658 0.000 0.000
Os 0.000 0.000 0.000
Fe 0.000 2.439 0.000
```

Values from the calculation:
uncorrected formation energy	0.51	eV per atom
spin magnetization	4.11	μB per cell
electronic total energy	-5.247	eV per atom
N(E_F)	4.35	states/eV per cell
SG	No. 123


First-principles (PBE) data for a geometry-optimized SrPuHgAs structure, as listed in Alexandria.

Structure (extended XYZ):
```
4
Lattice="-3.271 1.361 -4.032 -4.251 -3.066 -1.159 -4.956 1.776 1.047" Properties=species:S:1:pos:R:3 pbc="T T T"
Sr -3.119 0.018 -1.036
Pu -9.358 0.054 -3.108
Hg -6.239 0.036 -2.072
As 0.000 0.000 0.000
```

Values from the calculation:
spin magnetization	6.45	μB per cell
electronic total energy	-5.743	eV per atom
N(E_F)	12.92	states/eV per cell
SG	No. 216


First-principles (PBE) data for a geometry-optimized AcYRhAu structure, as listed in Alexandria.

Structure (extended XYZ):
```
4
Lattice="-4.592 -1.319 2.064 -0.329 -4.069 3.230 -0.891 0.767 5.070" Properties=species:S:1:pos:R:3 pbc="T T T"
Au 0.000 0.000 0.000
Ac -1.453 -1.155 2.591
Rh -2.906 -2.310 5.182
Y -4.359 -3.465 7.773
```

Values from the calculation:
spin magnetization	0.00	μB per cell
electronic total energy	-5.961	eV per atom
N(E_F)	3.90	states/eV per cell
SG	No. 216


First-principles (PBE) data for a geometry-optimized Zr2UNbC4 structure, as listed in Alexandria.

Structure (extended XYZ):
```
8
Lattice="-1.096 1.340 2.843 4.516 -2.311 2.831 1.464 5.252 -1.910" Properties=species:S:1:pos:R:3 pbc="T T T"
C 3.976 2.929 2.102
C 0.907 1.351 1.662
C 3.771 -0.462 1.672
C 2.209 3.403 -0.752
Zr 0.184 3.296 0.466
Zr 2.990 1.471 0.460
Nb 0.000 0.000 0.000
U 1.710 -0.486 2.837
```

Values from the calculation:
spin magnetization	0.00	μB per cell
electronic total energy	-10.011	eV per atom
N(E_F)	4.82	states/eV per cell
SG	No. 10


First-principles (PBE) data for a geometry-optimized Zn3RhCl structure, as listed in Alexandria.

Structure (extended XYZ):
```
5
Lattice="4.618 0.000 0.000 0.000 4.618 0.000 0.000 0.000 4.618" Properties=species:S:1:pos:R:3 pbc="T T T"
Rh 2.309 2.309 2.309
Zn 0.000 0.000 2.309
Zn 0.000 2.309 0.000
Zn 2.309 0.000 0.000
Cl 0.000 0.000 0.000
```

Values from the calculation:
uncorrected formation energy	0.92	eV per atom
spin magnetization	0.00	μB per cell
offset from the most stable computed form	81.91	kJ per mole of atoms
electronic total energy	-1.685	eV per atom
N(E_F)	4.53	states/eV per cell
SG	No. 221